# 1
Here is a geometry-optimized CsCdPtF6 structure from the Alexandria database. Energies are from PBE.

a = 6.083 Å, b = 5.846 Å, c = 6.391 Å
α = 89.32°, β = 88.50°, γ = 58.44°
Fractional coordinates of all 9 atoms:
Cs (0.007, 0.986, 0.000)
Cd (0.677, 0.644, 0.500)
Pt (0.336, 0.329, 0.500)
F (0.007, 0.378, 0.293)
F (0.346, 0.030, 0.666)
F (0.613, 0.381, 0.708)
F (0.030, 0.613, 0.667)
F (0.357, 0.611, 0.332)
F (0.626, 0.027, 0.335)

## Properties
The calculation puts the raw formation energy at -17.14 eV/f.u. The space group is No. 1.



# 2
Here is a geometry-optimized BeFeOs structure from the Alexandria database. Energies are from PBE.

a = 3.770 Å, b = 3.770 Å, c = 3.770 Å
α = 60.00°, β = 60.00°, γ = 60.00°
Fractional coordinates of all 3 atoms:
Be (0.750, 0.750, 0.750)
Os (0.250, 0.250, 0.250)
Fe (0.000, 0.000, 0.000)

## Properties
For the polymorph energy (0 for the lowest one), the calculation gives 329.4 meV per atom. The formation energy is 220 meV/atom. The space group is No. 216.



So what do the calculations give for magnetization? Going down the list: 0.11, 0.00 μB per atom.